(1)
{"formula": "Co2AgTe", "functional": "PBE", "state": "optimized geometry", "crystal_system": "cubic", "lattice": [[0.0000, 3.1680, 3.1680], [3.1680, 0.0000, 3.1680], [3.1680, 3.1680, 0.0000]], "species": ["Co", "Co", "Ag", "Te"], "fractional_positions": [[0.0000, 0.0000, 0.0000], [0.2500, 0.2500, 0.2500], [0.7500, 0.7500, 0.7500], [0.5000, 0.5000, 0.5000]]}



(2)
{"formula": "RbLu2Cu3SeS4", "functional": "PBE", "state": "optimized geometry", "crystal_system": "orthorhombic", "lattice": [[1.9632, -6.9282, 0.0000], [1.9632, 6.9282, 0.0000], [0.0000, 0.0000, 16.4249]], "species": ["Rb", "Rb", "Lu", "Lu", "Lu", "Lu", "Cu", "Cu", "Cu", "Cu", "Cu", "Cu", "Se", "Se", "S", "S", "S", "S", "S", "S", "S", "S"], "fractional_positions": [[0.0599, 0.9401, 0.7500], [0.9401, 0.0599, 0.2500], [0.1904, 0.8096, 0.0903], [0.1904, 0.8096, 0.4097], [0.8096, 0.1904, 0.5903], [0.8096, 0.1904, 0.9097], [0.3537, 0.6463, 0.7500], [0.4162, 0.5838, 0.0383], [0.4162, 0.5838, 0.4617], [0.5838, 0.4162, 0.5383], [0.5838, 0.4162, 0.9617], [0.6463, 0.3537, 0.2500], [0.2457, 0.7543, 0.2500], [0.7543, 0.2457, 0.7500], [0.1702, 0.8298, 0.5692], [0.1702, 0.8298, 0.9308], [0.4372, 0.5628, 0.6132], [0.4372, 0.5628, 0.8868], [0.5628, 0.4372, 0.1132], [0.5628, 0.4372, 0.3868], [0.8298, 0.1702, 0.0692], [0.8298, 0.1702, 0.4308]]}



(3)
{"formula": "Ho3ErPb2C2", "functional": "PBE", "state": "optimized geometry", "crystal_system": "trigonal", "lattice": [[3.6179, 0.0000, 0.0000], [-1.8090, 3.1332, 0.0000], [0.0000, 0.0000, 16.0196]], "species": ["Ho", "Ho", "Ho", "Er", "Pb", "Pb", "C", "C"], "fractional_positions": [[0.0000, 0.0000, 0.0000], [0.0000, 0.0000, 0.3354], [0.6667, 0.3333, 0.8353], [0.6667, 0.3333, 0.4999], [0.0000, 0.0000, 0.6676], [0.6667, 0.3333, 0.1676], [0.3333, 0.6667, 0.4177], [0.3333, 0.6667, 0.9176]]}



(4)
{"formula": "DyEr6Fe2Te2", "functional": "PBE", "state": "optimized geometry", "crystal_system": "orthorhombic", "lattice": [[-1.9240, 7.8058, 4.6337], [1.9240, -7.8058, 4.6337], [1.9240, 7.8058, -4.6337]], "species": ["Dy", "Er", "Er", "Er", "Er", "Er", "Er", "Fe", "Fe", "Te", "Te"], "fractional_positions": [[0.0000, 0.0000, 0.0000], [0.0610, 0.3746, 0.6863], [0.0842, 0.7348, 0.3494], [0.3854, 0.7348, 0.6506], [0.4456, 0.5818, 0.8638], [0.6883, 0.3746, 0.3137], [0.7180, 0.5818, 0.1362], [0.3053, 0.0680, 0.2373], [0.8308, 0.0680, 0.7627], [0.3362, 0.3362, 0.0000], [0.7323, 0.2323, 0.5000]]}



(5)
{"formula": "PrDyCo2Ge4", "functional": "PBE", "state": "optimized geometry", "crystal_system": "orthorhombic", "lattice": [[4.1903, 0.0000, 0.0000], [0.0000, 2.0951, 8.3350], [0.0000, -2.0951, 8.3350]], "species": ["Pr", "Dy", "Co", "Co", "Ge", "Ge", "Ge", "Ge"], "fractional_positions": [[0.0000, 0.0000, 0.0000], [0.5000, 0.7823, 0.7823], [0.0000, 0.2109, 0.2109], [0.5000, 0.5733, 0.5733], [0.0000, 0.3461, 0.3461], [0.0000, 0.6420, 0.6420], [0.5000, 0.1430, 0.1430], [0.5000, 0.4359, 0.4359]]}



(6)
{"formula": "Pr3Sb5O12", "functional": "PBE", "state": "optimized geometry", "crystal_system": "cubic", "lattice": [[-5.5001, 5.5001, 5.5001], [5.5001, -5.5001, 5.5001], [5.5001, 5.5001, -5.5001]], "species": ["Pr", "Pr", "Pr", "Pr", "Pr", "Pr", "Sb", "Sb", "Sb", "Sb", "Sb", "Sb", "Sb", "Sb", "Sb", "Sb", "O", "O", "O", "O", "O", "O", "O", "O", "O", "O", "O", "O", "O", "O", "O", "O", "O", "O", "O", "O", "O", "O", "O", "O"], "fractional_positions": [[0.2500, 0.5000, 0.7500], [0.2500, 0.7500, 0.5000], [0.5000, 0.2500, 0.7500], [0.5000, 0.7500, 0.2500], [0.7500, 0.2500, 0.5000], [0.7500, 0.5000, 0.2500], [0.0000, 0.0000, 0.4893], [0.0000, 0.2740, 0.2740], [0.0000, 0.4893, 0.0000], [0.0000, 0.7260, 0.7260], [0.2740, 0.0000, 0.2740], [0.2740, 0.2740, 0.0000], [0.4893, 0.0000, 0.0000], [0.5107, 0.5107, 0.5107], [0.7260, 0.0000, 0.7260], [0.7260, 0.7260, 0.0000], [0.0000, 0.2855, 0.4855], [0.0000, 0.4855, 0.2855], [0.0000, 0.5293, 0.8035], [0.0000, 0.8035, 0.5293], [0.1965, 0.1965, 0.7258], [0.1965, 0.7258, 0.1965], [0.2000, 0.7145, 0.7145], [0.2742, 0.4707, 0.4707], [0.2855, 0.0000, 0.4855], [0.2855, 0.4855, 0.0000], [0.4707, 0.2742, 0.4707], [0.4707, 0.4707, 0.2742], [0.4855, 0.0000, 0.2855], [0.4855, 0.2855, 0.0000], [0.5145, 0.5145, 0.8000], [0.5145, 0.8000, 0.5145], [0.5293, 0.0000, 0.8035], [0.5293, 0.8035, 0.0000], [0.7145, 0.2000, 0.7145], [0.7145, 0.7145, 0.2000], [0.7258, 0.1965, 0.1965], [0.8000, 0.5145, 0.5145], [0.8035, 0.0000, 0.5293], [0.8035, 0.5293, 0.0000]]}



| no. | E (eV per atom) |
| --- | --- |
| 1 | -4.468 |
| 2 | -4.943 |
| 3 | -6.033 |
| 4 | -5.483 |
| 5 | -5.904 |
| 6 | -6.886 |